Material: Na3Sc2V3O12
Method: DFT, GGA+U
State: relaxed

Calculated values
Density of states at the Fermi level in states/eV per atom: 0.000
Total magnetic moment in μB per formula unit: 0.0
Raw total energy in eV per cell: -585.02
SG: Ia-3d (230)

Cell lengths 11.0667, 11.0667, 11.0667 Å; angles 109.47, 109.47, 109.47 degrees
Closest atoms and distances in Å follow each position.
Atoms (fractional coordinates):
O  0.9121  0.1129  0.6060  1 V 1.75
O  0.3061  0.9121  0.2992  1 V 1.75
O  0.8940  0.3871  0.5879  1 V 1.75
O  0.4121  0.1060  0.6129  1 V 1.75
O  0.1129  0.0069  0.2008  1 V 1.75
O  0.0879  0.7008  0.6939  1 V 1.75
O  0.3940  0.0879  0.8871  1 V 1.75
O  0.0069  0.2008  0.1129  1 V 1.75
O  0.8061  0.5069  0.3940  1 V 1.75
O  0.1060  0.9931  0.6939  1 V 1.75
O  0.2008  0.1129  0.0069  1 V 1.75
O  0.3061  0.8940  0.0069  1 V 1.75
O  0.3871  0.5879  0.8940  1 V 1.75
O  0.4121  0.8061  0.7992  1 V 1.75
O  0.2008  0.5879  0.1939  1 V 1.75
O  0.6129  0.4121  0.1060  1 V 1.75
O  0.8061  0.7992  0.4121  1 V 1.75
O  0.7992  0.8871  0.9931  1 V 1.75
O  0.6939  0.0879  0.7008  1 V 1.75
O  0.2992  0.3061  0.9121  1 V 1.75
O  0.7008  0.6939  0.0879  1 V 1.75
O  0.6060  0.1939  0.4931  1 V 1.75
O  0.9121  0.2992  0.3061  1 V 1.75
O  0.4931  0.3871  0.2992  1 V 1.75
O  0.6060  0.9121  0.1129  1 V 1.75
O  0.5879  0.1939  0.2008  1 V 1.75
O  0.3940  0.8061  0.5069  1 V 1.75
O  0.0069  0.3061  0.8940  1 V 1.75
O  0.7992  0.4121  0.8061  1 V 1.75
O  0.1129  0.6060  0.9121  1 V 1.75
O  0.6939  0.1060  0.9931  1 V 1.75
O  0.5069  0.3940  0.8061  1 V 1.75
O  0.9931  0.7992  0.8871  1 V 1.75
O  0.8871  0.9931  0.7992  1 V 1.75
O  0.8871  0.3940  0.0879  1 V 1.75
O  0.6129  0.7008  0.5069  1 V 1.75
O  0.2992  0.4931  0.3871  1 V 1.75
O  0.4931  0.6060  0.1939  1 V 1.75
O  0.5069  0.6129  0.7008  1 V 1.75
O  0.5879  0.8940  0.3871  1 V 1.75
O  0.3871  0.2992  0.4931  1 V 1.75
O  0.0879  0.8871  0.3940  1 V 1.75
O  0.1939  0.2008  0.5879  1 V 1.75
O  0.9931  0.6939  0.1060  1 V 1.75
O  0.1060  0.6129  0.4121  1 V 1.75
O  0.8940  0.0069  0.3061  1 V 1.75
O  0.7008  0.5069  0.6129  1 V 1.75
O  0.1939  0.4931  0.6060  1 V 1.75
Na  0.6250  0.8750  0.7500  8 O 2.52-2.67
Na  0.8750  0.7500  0.6250  8 O 2.52-2.67
Na  0.2500  0.8750  0.6250  8 O 2.52-2.67
Na  0.3750  0.7500  0.1250  8 O 2.52-2.67
Na  0.8750  0.6250  0.2500  8 O 2.52-2.67
Na  0.2500  0.3750  0.1250  8 O 2.52-2.67
Na  0.7500  0.1250  0.3750  8 O 2.52-2.67
Na  0.6250  0.2500  0.8750  8 O 2.52-2.67
Na  0.1250  0.2500  0.3750  8 O 2.52-2.67
Na  0.3750  0.1250  0.2500  8 O 2.52-2.67
Na  0.1250  0.3750  0.7500  8 O 2.52-2.67
Na  0.7500  0.6250  0.8750  8 O 2.52-2.67
Sc  0.5000  0.5000  0.5000  6 O 2.12
Sc  0.5000  0.0000  0.5000  6 O 2.12
Sc  0.5000  0.5000  0.0000  6 O 2.12
Sc  0.0000  0.0000  0.5000  6 O 2.12
Sc  0.0000  0.0000  0.0000  6 O 2.12
Sc  0.0000  0.5000  0.0000  6 O 2.12
Sc  0.0000  0.5000  0.5000  6 O 2.12
Sc  0.5000  0.0000  0.0000  6 O 2.12
V  0.6250  0.7500  0.3750  4 O 1.75
V  0.3750  0.2500  0.6250  4 O 1.75
V  0.2500  0.6250  0.3750  4 O 1.75
V  0.2500  0.1250  0.8750  4 O 1.75
V  0.8750  0.2500  0.1250  4 O 1.75
V  0.1250  0.7500  0.8750  4 O 1.75
V  0.1250  0.8750  0.2500  4 O 1.75
V  0.3750  0.6250  0.7500  4 O 1.75
V  0.8750  0.1250  0.7500  4 O 1.75
V  0.7500  0.3750  0.6250  4 O 1.75
V  0.6250  0.3750  0.2500  4 O 1.75
V  0.7500  0.8750  0.1250  4 O 1.75